A plane-wave DFT calculation with PBE was carried out for a geometry-optimized Ca4Hg2Au structure.

symmetry	R-3m (166)
formation energy	-503	meV per atom
density of states at the Fermi level	0.92	states/eV per atom
magnetic moment	0.00	μB/cell

abc: 5.2744 5.2744 9.1328
angles: 73.22 73.22 60.00
Element x y z (fractional)
Ca 0.8777 0.8777 0.3668
Ca 0.1223 0.1223 0.6332
Ca 0.6279 0.6279 0.1162
Ca 0.3721 0.3721 0.8838
Au 0.0000 0.0000 0.0000
Hg 0.7536 0.7536 0.7392
Hg 0.2464 0.2464 0.2608

***

A plane-wave DFT calculation with PBE was carried out for a geometry-optimized Ca2Hg6Au structure.

symmetry	C2/m (12)
formation energy	-341	meV per atom
density of states at the Fermi level	0.38	states/eV per atom
magnetic moment	0.00	μB/cell
excess energy over the best structure of this formula in the dataset	0	meV per atom

abc: 4.3624 7.7984 7.4287
angles: 110.83 107.07 90.00
Element x y z (fractional)
Ca 0.9332 0.1799 0.8664
Ca 0.0668 0.8201 0.1336
Hg 0.3943 0.8283 0.7886
Hg 0.6057 0.1717 0.2114
Hg 0.7284 0.8123 0.4568
Hg 0.1571 0.4907 0.3142
Hg 0.2716 0.1877 0.5432
Hg 0.8429 0.5093 0.6858
Au 0.5000 0.5000 0.0000

***

A plane-wave DFT calculation with PBE was carried out for a geometry-optimized Ca2HgAu structure.

symmetry	P4/mmm (123)
formation energy	-666	meV per atom
density of states at the Fermi level	0.62	states/eV per atom
magnetic moment	0.00	μB/cell

abc: 3.7024 3.7024 7.4675
angles: 90.00 90.00 90.00
Element x y z (fractional)
Ca 0.0000 0.0000 0.7622
Ca 0.0000 0.0000 0.2378
Au 0.5000 0.5000 0.0000
Hg 0.5000 0.5000 0.5000

***

A plane-wave DFT calculation with PBE was carried out for a geometry-optimized Ca3HgAu4 structure.

symmetry	Immm (71)
formation energy	-609	meV per atom
density of states at the Fermi level	0.44	states/eV per atom
magnetic moment	0.00	μB/cell
excess energy over the best structure of this formula in the dataset	47	meV per atom

abc: 3.9081 7.2375 8.4221
angles: 115.45 103.42 90.00
Element x y z (fractional)
Ca 0.1862 0.1862 0.3723
Ca 0.8138 0.8138 0.6277
Ca 0.0000 0.5000 0.0000
Hg 0.5000 0.0000 0.0000
Au 0.3685 0.1742 0.7370
Au 0.6315 0.8258 0.2630
Au 0.6315 0.4371 0.2630
Au 0.3685 0.5629 0.7370

***

formation energy of number 2 (Ca2Hg6Au)?
-341 meV per atom